[1]
DFT (PBE+U) results for a relaxed Ba2FeO4 crystal.

Summary:
- raw total energy (eV per atom) = -6.260

a = 6.263 Å, b = 7.764 Å, c = 11.626 Å
α = 90.00°, β = 117.81°, γ = 90.00°
Fractional coordinates of all 28 atoms:
Ba 0.021 0.007 0.303
Ba 0.021 0.493 0.803
Ba 0.316 0.655 0.575
Ba 0.316 0.845 0.075
Ba 0.684 0.155 0.925
Ba 0.684 0.345 0.425
Ba 0.979 0.507 0.197
Ba 0.979 0.993 0.697
Fe 0.343 0.221 0.584
Fe 0.343 0.279 0.084
Fe 0.657 0.721 0.916
Fe 0.657 0.779 0.416
O 0.133 0.181 0.132
O 0.133 0.319 0.632
O 0.255 0.165 0.929
O 0.255 0.335 0.429
O 0.294 0.506 0.091
O 0.294 0.994 0.591
O 0.331 0.750 0.331
O 0.331 0.750 0.831
O 0.669 0.250 0.169
O 0.669 0.250 0.669
O 0.706 0.006 0.409
O 0.706 0.494 0.909
O 0.745 0.665 0.571
O 0.745 0.835 0.071
O 0.867 0.681 0.368
O 0.867 0.819 0.868


[2]
DFT (PBE+U) results for a relaxed Ba2Fe3O7 crystal.

Summary:
- raw total energy (eV per atom) = -6.138

a = 3.789 Å, b = 12.597 Å, c = 3.789 Å
α = 90.00°, β = 90.00°, γ = 90.00°
Fractional coordinates of all 12 atoms:
Ba 0.000 0.198 0.000
Ba 0.000 0.802 0.000
Fe 0.500 0.000 0.485
Fe 0.500 0.390 0.499
Fe 0.500 0.610 0.499
O 0.000 0.000 0.436
O 0.000 0.366 0.498
O 0.000 0.634 0.498
O 0.500 0.146 0.504
O 0.500 0.365 0.999
O 0.500 0.635 0.999
O 0.500 0.854 0.504


[3]
DFT (PBE+U) results for a relaxed BaFe4O7 crystal.

Summary:
- energy above the most stable polymorph in this dataset (kJ per mole of atoms) = 0.0

a = 13.596 Å, b = 5.500 Å, c = 5.170 Å
α = 90.00°, β = 90.00°, γ = 90.00°
Fractional coordinates of all 24 atoms:
Ba 0.000 0.147 0.000
Ba 0.500 0.853 0.500
Fe 0.119 0.672 0.462
Fe 0.247 0.180 0.450
Fe 0.253 0.820 0.950
Fe 0.381 0.328 0.962
Fe 0.619 0.328 0.962
Fe 0.747 0.820 0.950
Fe 0.753 0.180 0.450
Fe 0.881 0.672 0.462
O 0.000 0.813 0.351
O 0.129 0.339 0.372
O 0.129 0.732 0.822
O 0.231 0.849 0.320
O 0.269 0.151 0.820
O 0.371 0.268 0.322
O 0.371 0.661 0.872
O 0.500 0.187 0.851
O 0.629 0.268 0.322
O 0.629 0.661 0.872
O 0.731 0.151 0.820
O 0.769 0.849 0.320
O 0.871 0.339 0.372
O 0.871 0.732 0.822


[4]
DFT (PBE+U) results for a relaxed Ba2Fe2O5 crystal.

Summary:
- raw total energy (eV per atom) = -6.354

a = 8.959 Å, b = 8.959 Å, c = 8.959 Å
α = 55.13°, β = 141.81°, γ = 141.78°
Fractional coordinates of all 18 atoms:
Ba 0.006 0.117 0.123
Ba 0.006 0.383 0.388
Ba 0.994 0.617 0.612
Ba 0.994 0.883 0.877
Fe 0.458 0.250 0.708
Fe 0.500 0.000 0.500
Fe 0.500 0.500 0.000
Fe 0.542 0.750 0.292
O 0.000 0.001 0.499
O 0.000 0.244 0.744
O 0.000 0.755 0.256
O 0.458 0.636 0.095
O 0.458 0.863 0.322
O 0.500 0.255 0.256
O 0.500 0.744 0.744
O 0.502 0.501 0.501
O 0.541 0.136 0.678
O 0.541 0.363 0.905


[5]
DFT (PBE+U) results for a relaxed Ba8Fe8O21 crystal.

Summary:
- raw total energy (eV per atom) = -6.397

a = 5.733 Å, b = 5.772 Å, c = 19.024 Å
α = 97.56°, β = 90.70°, γ = 119.31°
Fractional coordinates of all 37 atoms:
Ba 0.000 0.000 0.000
Ba 0.113 0.233 0.371
Ba 0.261 0.514 0.754
Ba 0.369 0.744 0.127
Ba 0.500 0.000 0.500
Ba 0.631 0.256 0.873
Ba 0.739 0.486 0.246
Ba 0.887 0.767 0.629
Fe 0.039 0.101 0.186
Fe 0.172 0.342 0.556
Fe 0.360 0.650 0.931
Fe 0.399 0.810 0.304
Fe 0.601 0.190 0.696
Fe 0.640 0.350 0.069
Fe 0.828 0.658 0.444
Fe 0.961 0.899 0.814
O 0.000 0.000 0.500
O 0.000 0.500 0.500
O 0.107 0.727 0.375
O 0.129 0.750 0.882
O 0.135 0.269 0.877
O 0.223 0.467 0.248
O 0.255 0.998 0.258
O 0.268 0.013 0.749
O 0.349 0.226 0.127
O 0.386 0.259 0.625
O 0.500 0.000 0.000
O 0.500 0.500 0.000
O 0.500 0.500 0.500
O 0.614 0.741 0.375
O 0.651 0.774 0.873
O 0.732 0.987 0.251
O 0.745 0.002 0.742
O 0.777 0.533 0.752
O 0.865 0.731 0.123
O 0.871 0.250 0.118
O 0.893 0.273 0.625


[6]
DFT (PBE+U) results for a relaxed BaFe3O crystal.

Summary:
- energy above the most stable polymorph in this dataset (kJ per mole of atoms) = 0.0

a = 4.703 Å, b = 4.703 Å, c = 4.703 Å
α = 90.00°, β = 90.00°, γ = 90.00°
Fractional coordinates of all 5 atoms:
Ba 0.000 0.000 0.000
Fe 0.000 0.500 0.500
Fe 0.500 0.000 0.500
Fe 0.500 0.500 0.000
O 0.500 0.500 0.500


[7]
DFT (PBE+U) results for a relaxed BaFe3O6 crystal.

Summary:
- raw total energy (eV per atom) = -6.387

a = 5.717 Å, b = 5.717 Å, c = 5.717 Å
α = 56.61°, β = 56.61°, γ = 56.61°
Fractional coordinates of all 10 atoms:
Ba 0.000 0.000 0.000
Fe 0.249 0.249 0.249
Fe 0.456 0.456 0.456
Fe 0.762 0.762 0.762
O 0.040 0.539 0.484
O 0.153 0.505 0.872
O 0.484 0.040 0.539
O 0.505 0.872 0.153
O 0.539 0.484 0.040
O 0.872 0.153 0.505


[8]
DFT (PBE+U) results for a relaxed Ba2Fe2O5 crystal.

Summary:
- raw total energy (eV per atom) = -6.411

a = 4.042 Å, b = 4.042 Å, c = 8.278 Å
α = 90.00°, β = 90.00°, γ = 90.00°
Fractional coordinates of all 9 atoms:
Ba 0.000 0.000 0.000
Ba 0.000 0.000 0.500
Fe 0.500 0.500 0.233
Fe 0.500 0.500 0.767
O 0.000 0.500 0.273
O 0.000 0.500 0.727
O 0.500 0.000 0.273
O 0.500 0.000 0.727
O 0.500 0.500 0.000


[9]
DFT (PBE+U) results for a relaxed BaFe3O crystal.

Summary:
- energy above the most stable polymorph in this dataset (kJ per mole of atoms) = 180.6

a = 5.579 Å, b = 5.579 Å, c = 5.579 Å
α = 90.00°, β = 90.00°, γ = 90.00°
Fractional coordinates of all 5 atoms:
Ba 0.000 0.000 0.000
Fe 0.000 0.000 0.500
Fe 0.000 0.500 0.000
Fe 0.500 0.000 0.000
O 0.500 0.500 0.500


[10]
DFT (PBE+U) results for a relaxed BaFe4O7 crystal.

Summary:
- energy above the most stable polymorph in this dataset (kJ per mole of atoms) = 15.1

a = 5.116 Å, b = 5.116 Å, c = 13.926 Å
α = 90.00°, β = 90.00°, γ = 120.00°
Fractional coordinates of all 24 atoms:
Ba 0.333 0.667 0.250
Ba 0.667 0.333 0.750
Fe 0.000 0.000 0.113
Fe 0.000 0.000 0.387
Fe 0.000 0.000 0.613
Fe 0.000 0.000 0.887
Fe 0.333 0.667 0.503
Fe 0.333 0.667 0.997
Fe 0.667 0.333 0.003
Fe 0.667 0.333 0.497
O 0.000 0.000 0.250
O 0.000 0.000 0.750
O 0.007 0.645 0.079
O 0.007 0.645 0.421
O 0.355 0.362 0.079
O 0.355 0.362 0.421
O 0.362 0.007 0.579
O 0.362 0.007 0.921
O 0.638 0.993 0.079
O 0.638 0.993 0.421
O 0.645 0.638 0.579
O 0.645 0.638 0.921
O 0.993 0.355 0.579
O 0.993 0.355 0.921


[11]
DFT (PBE+U) results for a relaxed Ba2Fe2O5 crystal.

Summary:
- raw total energy (eV per atom) = -6.415

a = 9.425 Å, b = 9.363 Å, c = 5.818 Å
α = 72.53°, β = 71.39°, γ = 36.08°
Fractional coordinates of all 18 atoms:
Ba 0.099 0.620 0.380
Ba 0.380 0.901 0.099
Ba 0.620 0.099 0.901
Ba 0.901 0.380 0.620
Fe 0.000 0.500 0.000
Fe 0.323 0.677 0.677
Fe 0.500 0.000 0.500
Fe 0.677 0.323 0.323
O 0.134 0.653 0.866
O 0.250 0.250 0.250
O 0.254 0.254 0.746
O 0.341 0.659 0.341
O 0.347 0.866 0.653
O 0.653 0.134 0.347
O 0.659 0.341 0.659
O 0.746 0.746 0.254
O 0.750 0.750 0.750
O 0.866 0.347 0.134


[12]
DFT (PBE+U) results for a relaxed BaFe4O7 crystal.

Summary:
- energy above the most stable polymorph in this dataset (kJ per mole of atoms) = 36.3

a = 6.533 Å, b = 6.533 Å, c = 10.481 Å
α = 90.00°, β = 90.00°, γ = 120.00°
Fractional coordinates of all 24 atoms:
Ba 0.333 0.667 0.000
Ba 0.667 0.333 0.500
Fe 0.000 0.000 0.408
Fe 0.000 0.000 0.908
Fe 0.170 0.339 0.651
Fe 0.170 0.830 0.651
Fe 0.339 0.170 0.151
Fe 0.661 0.830 0.651
Fe 0.830 0.170 0.151
Fe 0.830 0.661 0.151
O 0.000 0.000 0.223
O 0.000 0.000 0.723
O 0.013 0.507 0.691
O 0.151 0.302 0.475
O 0.151 0.849 0.475
O 0.302 0.151 0.975
O 0.493 0.507 0.691
O 0.493 0.987 0.691
O 0.507 0.013 0.191
O 0.507 0.493 0.191
O 0.698 0.849 0.475
O 0.849 0.151 0.975
O 0.849 0.698 0.975
O 0.987 0.493 0.191


[13]
DFT (PBE+U) results for a relaxed Ba2Fe3O8 crystal.

Summary:
- raw total energy (eV per atom) = -6.152

a = 3.934 Å, b = 3.934 Å, c = 12.713 Å
α = 90.00°, β = 90.00°, γ = 90.00°
Fractional coordinates of all 13 atoms:
Ba 0.000 0.000 0.163
Ba 0.000 0.000 0.837
Fe 0.500 0.500 0.000
Fe 0.500 0.500 0.319
Fe 0.500 0.500 0.681
O 0.000 0.500 0.000
O 0.000 0.500 0.330
O 0.000 0.500 0.670
O 0.500 0.000 0.000
O 0.500 0.000 0.330
O 0.500 0.000 0.670
O 0.500 0.500 0.160
O 0.500 0.500 0.840


[14]
DFT (PBE+U) results for a relaxed Ba3Fe5O12 crystal.

Summary:
- raw total energy (eV per atom) = -6.308

a = 11.478 Å, b = 11.478 Å, c = 11.478 Å
α = 109.47°, β = 109.47°, γ = 109.47°
Fractional coordinates of all 80 atoms:
Ba 0.125 0.250 0.375
Ba 0.125 0.375 0.750
Ba 0.250 0.375 0.125
Ba 0.250 0.875 0.625
Ba 0.375 0.125 0.250
Ba 0.375 0.750 0.125
Ba 0.625 0.250 0.875
Ba 0.625 0.875 0.750
Ba 0.750 0.125 0.375
Ba 0.750 0.625 0.875
Ba 0.875 0.625 0.250
Ba 0.875 0.750 0.625
Fe 0.000 0.000 0.000
Fe 0.000 0.000 0.500
Fe 0.000 0.500 0.000
Fe 0.000 0.500 0.500
Fe 0.125 0.750 0.875
Fe 0.125 0.875 0.250
Fe 0.250 0.125 0.875
Fe 0.250 0.625 0.375
Fe 0.375 0.250 0.625
Fe 0.375 0.625 0.750
Fe 0.500 0.000 0.000
Fe 0.500 0.000 0.500
Fe 0.500 0.500 0.000
Fe 0.500 0.500 0.500
Fe 0.625 0.375 0.250
Fe 0.625 0.750 0.375
Fe 0.750 0.375 0.625
Fe 0.750 0.875 0.125
Fe 0.875 0.125 0.750
Fe 0.875 0.250 0.125
O 0.002 0.183 0.107
O 0.002 0.319 0.895
O 0.076 0.683 0.681
O 0.076 0.893 0.395
O 0.105 0.607 0.424
O 0.105 0.998 0.681
O 0.107 0.002 0.183
O 0.107 0.605 0.924
O 0.181 0.183 0.576
O 0.181 0.498 0.605
O 0.183 0.107 0.002
O 0.183 0.576 0.181
O 0.317 0.319 0.924
O 0.317 0.498 0.393
O 0.319 0.895 0.002
O 0.319 0.924 0.317
O 0.393 0.317 0.498
O 0.393 0.576 0.895
O 0.395 0.076 0.893
O 0.395 0.819 0.502
O 0.424 0.105 0.607
O 0.424 0.819 0.817
O 0.498 0.393 0.317
O 0.498 0.605 0.181
O 0.502 0.395 0.819
O 0.502 0.607 0.683
O 0.576 0.181 0.183
O 0.576 0.895 0.393
O 0.605 0.181 0.498
O 0.605 0.924 0.107
O 0.607 0.424 0.105
O 0.607 0.683 0.502
O 0.681 0.076 0.683
O 0.681 0.105 0.998
O 0.683 0.502 0.607
O 0.683 0.681 0.076
O 0.817 0.424 0.819
O 0.817 0.893 0.998
O 0.819 0.502 0.395
O 0.819 0.817 0.424
O 0.893 0.395 0.076
O 0.893 0.998 0.817
O 0.895 0.002 0.319
O 0.895 0.393 0.576
O 0.924 0.107 0.605
O 0.924 0.317 0.319
O 0.998 0.681 0.105
O 0.998 0.817 0.893


[15]
DFT (PBE+U) results for a relaxed Ba3Fe2O6 crystal.

Summary:
- raw total energy (eV per atom) = -6.387

a = 11.227 Å, b = 11.227 Å, c = 11.227 Å
α = 159.12°, β = 159.12°, γ = 29.69°
Fractional coordinates of all 11 atoms:
Ba 0.000 0.000 0.000
Ba 0.181 0.181 0.000
Ba 0.819 0.819 0.000
Fe 0.396 0.396 0.000
Fe 0.604 0.604 0.000
O 0.087 0.587 0.500
O 0.308 0.308 0.000
O 0.413 0.913 0.500
O 0.587 0.087 0.500
O 0.692 0.692 0.000
O 0.913 0.413 0.500